Entry 1:
Material: Cs2CaHg2Te4
Method: DFT, PBE
State: optimized geometry

Cell: 4.701 8.989 9.146 Å, 107.22 104.89 90.00°
Fractional coordinates of all 9 atoms:
Hg 0.663 0.976 0.326
Hg 0.337 0.024 0.674
Te 0.510 0.763 0.019
Te 0.798 0.822 0.595
Te 0.490 0.237 0.981
Te 0.202 0.178 0.405
Cs 0.872 0.436 0.744
Cs 0.128 0.564 0.256
Ca 0.000 0.000 0.000

Summary:
Uncorrected formation energy = -846 meV/atom
Calculated volume = 39.50 Å³ per atom

---

Entry 2:
Material: CsCaHgTe2
Method: DFT, PBE
State: optimized geometry

Cell: 7.177 8.800 7.449 Å, 115.14 90.00 90.00°
Fractional coordinates of all 10 atoms:
Te 0.304 0.741 0.371
Te 0.696 0.741 0.871
Te 0.696 0.259 0.629
Te 0.304 0.259 0.129
Hg 0.000 0.000 0.000
Hg 0.000 0.000 0.500
Cs 0.205 0.500 0.750
Cs 0.795 0.500 0.250
Ca 0.501 0.000 0.750
Ca 0.499 0.000 0.250

Summary:
Uncorrected formation energy = -835 meV/atom
Calculated volume = 42.59 Å³ per atom

---

Entry 3:
Material: Cs2CaTlHg
Method: DFT, PBE
State: optimized geometry

Cell: 7.465 6.191 7.465 Å, 90.00 90.00 90.00°
Fractional coordinates of all 5 atoms:
Ca 0.000 0.500 0.000
Cs 0.000 0.000 0.500
Cs 0.500 0.000 0.000
Tl 0.000 0.000 0.000
Hg 0.500 0.500 0.500

Summary:
Formation energy from the elements = 80 meV per atom
Calculated volume = 69.00 Å³ per atom

---

Entry 4:
Material: Cs2CaHoI6
Method: DFT, PBE
State: optimized geometry

Cell: 8.692 8.695 12.302 Å, 90.00 90.00 90.00°
Fractional coordinates of all 20 atoms:
I 0.753 0.504 0.000
I 0.500 0.250 0.253
I 0.747 0.002 0.500
I 0.753 0.998 0.000
I 0.000 0.750 0.247
I 0.747 0.496 0.500
I 0.253 0.002 0.500
I 0.500 0.250 0.747
I 0.253 0.496 0.500
I 0.000 0.750 0.753
I 0.247 0.504 0.000
I 0.247 0.998 0.000
Ho 0.500 0.249 0.500
Ho 0.000 0.751 0.000
Ca 0.500 0.251 0.000
Ca 0.000 0.749 0.500
Cs 0.000 0.251 0.250
Cs 0.500 0.749 0.750
Cs 0.500 0.749 0.250
Cs 0.000 0.251 0.750

Summary:
Uncorrected formation energy = -1393 meV/atom
Calculated volume = 46.49 Å³ per atom

---

Entry 5:
Material: CsCaHoI6
Method: DFT, PBE
State: optimized geometry

Cell: 8.020 8.020 17.221 Å, 90.00 90.00 120.00°
Fractional coordinates of all 18 atoms:
Cs 0.000 0.000 0.500
Cs 0.000 0.000 0.000
I 0.379 0.011 0.146
I 0.011 0.631 0.854
I 0.631 0.011 0.354
I 0.621 0.631 0.646
I 0.631 0.621 0.146
I 0.011 0.379 0.646
I 0.369 0.989 0.646
I 0.989 0.621 0.354
I 0.369 0.379 0.854
I 0.621 0.989 0.854
I 0.379 0.369 0.354
I 0.989 0.369 0.146
Ho 0.333 0.667 0.750
Ho 0.667 0.333 0.250
Ca 0.333 0.667 0.250
Ca 0.667 0.333 0.750

Summary:
Uncorrected formation energy = -1518 meV/atom
Calculated volume = 53.29 Å³ per atom

---

Entry 6:
Material: Cs3CaHo2S6
Method: DFT, PBE
State: optimized geometry

Cell: 7.172 7.172 8.374 Å, 98.20 98.20 120.01°
Fractional coordinates of all 12 atoms:
S 0.593 0.939 0.817
S 0.715 0.715 0.181
S 0.939 0.593 0.817
S 0.061 0.407 0.183
S 0.285 0.285 0.819
S 0.407 0.061 0.183
Cs 0.500 0.500 0.500
Cs 0.163 0.837 0.500
Cs 0.837 0.163 0.500
Ca 0.000 0.000 0.000
Ho 0.333 0.667 0.000
Ho 0.667 0.333 0.000

Summary:
Uncorrected formation energy = -1644 meV/atom
Calculated volume = 29.79 Å³ per atom

---

Entry 7:
Material: Cs3CaHo2Se6
Method: DFT, PBE
State: optimized geometry

Cell: 7.441 7.441 8.727 Å, 98.16 98.16 120.00°
Fractional coordinates of all 12 atoms:
Se 0.407 0.062 0.186
Se 0.062 0.407 0.186
Se 0.283 0.283 0.815
Se 0.938 0.593 0.814
Se 0.717 0.717 0.185
Se 0.593 0.938 0.814
Ho 0.333 0.667 0.000
Ho 0.667 0.333 0.000
Cs 0.837 0.163 0.500
Cs 0.500 0.500 0.500
Cs 0.163 0.837 0.500
Ca 0.000 0.000 0.000

Summary:
Uncorrected formation energy = -1577 meV/atom
Calculated volume = 33.44 Å³ per atom

---

Entry 8:
Material: Cs3CaHo2Te6
Method: DFT, PBE
State: optimized geometry

Cell: 7.899 7.899 9.360 Å, 98.08 98.08 120.00°
Fractional coordinates of all 12 atoms:
Ca 0.000 0.000 0.000
Te 0.936 0.592 0.809
Te 0.719 0.719 0.189
Te 0.592 0.936 0.809
Te 0.064 0.408 0.191
Te 0.408 0.064 0.191
Te 0.281 0.281 0.811
Ho 0.333 0.667 0.000
Ho 0.667 0.333 0.000
Cs 0.163 0.837 0.500
Cs 0.837 0.163 0.500
Cs 0.500 0.500 0.500

Summary:
Uncorrected formation energy = -1289 meV/atom
Calculated volume = 40.45 Å³ per atom

---

Entry 9:
Material: CsCa4I8
Method: DFT, PBE
State: optimized geometry

Cell: 4.589 10.978 11.853 Å, 81.14 78.84 77.93°
Fractional coordinates of all 13 atoms:
Cs 0.516 0.002 0.967
Ca 0.369 0.827 0.435
Ca 0.662 0.176 0.499
Ca 0.851 0.498 0.800
Ca 0.180 0.505 0.134
I 0.811 0.334 0.044
I 0.889 0.665 0.558
I 0.220 0.670 0.890
I 0.478 0.322 0.723
I 0.143 0.338 0.376
I 0.180 0.009 0.631
I 0.554 0.682 0.211
I 0.851 0.995 0.303

Summary:
Uncorrected formation energy = -1482 meV/atom
Calculated volume = 43.76 Å³ per atom

---

Entry 10:
Material: CsCa4I8
Method: DFT, PBE
State: optimized geometry

Cell: 9.783 9.783 9.783 Å, 60.00 60.00 60.00°
Fractional coordinates of all 13 atoms:
I 0.603 0.603 0.191
I 0.603 0.603 0.603
I 0.191 0.603 0.603
I 0.603 0.191 0.603
I 0.138 0.585 0.138
I 0.138 0.138 0.138
I 0.138 0.138 0.585
I 0.585 0.138 0.138
Ca 0.370 0.370 0.370
Ca 0.370 0.889 0.370
Ca 0.370 0.370 0.889
Ca 0.889 0.370 0.370
Cs 0.750 0.750 0.750

Summary:
Uncorrected formation energy = -1445 meV/atom
Calculated volume = 50.92 Å³ per atom

---

Entry 11:
Material: CsCa2I2
Method: DFT, PBE
State: optimized geometry

Cell: 11.019 11.019 3.990 Å, 90.00 90.00 90.00°
Fractional coordinates of all 10 atoms:
Ca 0.375 0.125 0.500
Ca 0.875 0.375 0.500
Ca 0.625 0.875 0.500
Ca 0.125 0.625 0.500
I 0.876 0.624 0.000
I 0.124 0.376 0.000
I 0.376 0.876 0.000
I 0.624 0.124 0.000
Cs 0.000 0.000 0.000
Cs 0.500 0.500 0.000

Summary:
Uncorrected formation energy = -564 meV/atom
Calculated volume = 48.44 Å³ per atom

---

Entry 12:
Material: Cs3Ca5I12
Method: DFT, PBE
State: optimized geometry

Cell: 17.579 17.579 17.579 Å, 109.47 109.47 109.47°
Fractional coordinates of all 80 atoms:
I 0.480 0.677 0.092
I 0.388 0.980 0.803
I 0.803 0.480 0.388
I 0.197 0.677 0.086
I 0.303 0.414 0.823
I 0.323 0.520 0.408
I 0.980 0.388 0.303
I 0.980 0.592 0.177
I 0.408 0.388 0.586
I 0.414 0.112 0.592
I 0.697 0.112 0.020
I 0.020 0.408 0.823
I 0.112 0.414 0.092
I 0.520 0.197 0.112
I 0.177 0.086 0.697
I 0.480 0.803 0.888
I 0.908 0.086 0.888
I 0.020 0.612 0.697
I 0.086 0.177 0.197
I 0.408 0.020 0.323
I 0.092 0.177 0.480
I 0.888 0.586 0.908
I 0.303 0.888 0.980
I 0.197 0.520 0.612
I 0.612 0.020 0.197
I 0.112 0.697 0.520
I 0.612 0.592 0.914
I 0.677 0.480 0.592
I 0.323 0.803 0.414
I 0.908 0.823 0.520
I 0.888 0.303 0.480
I 0.803 0.323 0.914
I 0.086 0.908 0.388
I 0.592 0.980 0.677
I 0.520 0.323 0.908
I 0.914 0.092 0.612
I 0.697 0.586 0.177
I 0.677 0.197 0.586
I 0.823 0.908 0.020
I 0.823 0.914 0.303
I 0.586 0.697 0.677
I 0.586 0.888 0.408
I 0.414 0.303 0.323
I 0.092 0.914 0.112
I 0.177 0.092 0.980
I 0.592 0.612 0.414
I 0.388 0.408 0.086
I 0.914 0.823 0.803
Ca 0.875 0.625 0.750
Ca 0.625 0.750 0.875
Ca 0.125 0.375 0.250
Ca 0.500 0.500 0.000
Ca 0.000 0.500 0.000
Ca 0.625 0.875 0.250
Ca 0.000 0.000 0.000
Ca 0.500 0.500 0.500
Ca 0.000 0.500 0.500
Ca 0.500 0.000 0.500
Ca 0.875 0.250 0.625
Ca 0.500 0.000 0.000
Ca 0.125 0.750 0.375
Ca 0.375 0.250 0.125
Ca 0.375 0.125 0.750
Ca 0.000 0.000 0.500
Ca 0.750 0.125 0.875
Ca 0.250 0.875 0.125
Ca 0.250 0.375 0.625
Ca 0.750 0.625 0.375
Cs 0.750 0.875 0.625
Cs 0.625 0.250 0.375
Cs 0.875 0.125 0.250
Cs 0.375 0.625 0.250
Cs 0.250 0.625 0.875
Cs 0.250 0.125 0.375
Cs 0.125 0.875 0.750
Cs 0.125 0.250 0.875
Cs 0.875 0.750 0.125
Cs 0.625 0.375 0.750
Cs 0.375 0.750 0.625
Cs 0.750 0.375 0.125

Summary:
Uncorrected formation energy = -1464 meV/atom
Calculated volume = 52.27 Å³ per atom

---

Entry 13:
Material: CsCa3I
Method: DFT, PBE
State: optimized geometry

Cell: 6.538 6.538 6.538 Å, 90.00 90.00 90.00°
Fractional coordinates of all 5 atoms:
I 0.000 0.000 0.000
Ca 0.500 0.000 0.000
Ca 0.000 0.000 0.500
Ca 0.000 0.500 0.000
Cs 0.500 0.500 0.500

Summary:
Uncorrected formation energy = 29 meV/atom
Calculated volume = 55.88 Å³ per atom

---

Entry 14:
Material: CsCa3I
Method: DFT, PBE
State: optimized geometry

Cell: 7.775 7.775 7.775 Å, 90.00 90.00 90.00°
Fractional coordinates of all 5 atoms:
I 0.500 0.500 0.500
Ca 0.500 0.000 0.000
Ca 0.000 0.500 0.000
Ca 0.000 0.000 0.500
Cs 0.000 0.000 0.000

Summary:
Uncorrected formation energy = 750 meV/atom
Calculated volume = 94.00 Å³ per atom

---

Entry 15:
Material: Cs2Ca2I5
Method: DFT, PBE
State: optimized geometry

Cell: 6.317 9.134 9.360 Å, 111.76 90.00 110.23°
Fractional coordinates of all 9 atoms:
I 0.645 0.291 0.898
I 0.847 0.693 0.430
I 0.355 0.709 0.102
I 0.000 0.000 0.000
I 0.153 0.307 0.570
Cs 0.396 0.793 0.688
Cs 0.604 0.207 0.312
Ca 0.840 0.679 0.100
Ca 0.160 0.321 0.900

Summary:
Uncorrected formation energy = -1366 meV/atom
Calculated volume = 51.72 Å³ per atom

---

Entry 16:
Material: Cs2CaI2
Method: DFT, PBE
State: optimized geometry

Cell: 10.290 10.290 5.001 Å, 90.00 90.00 90.00°
Fractional coordinates of all 10 atoms:
Ca 0.000 0.000 0.000
Ca 0.500 0.500 0.000
Cs 0.647 0.853 0.500
Cs 0.147 0.647 0.500
Cs 0.853 0.353 0.500
Cs 0.353 0.147 0.500
I 0.157 0.343 0.000
I 0.843 0.657 0.000
I 0.343 0.843 0.000
I 0.657 0.157 0.000

Summary:
Uncorrected formation energy = -959 meV/atom
Calculated volume = 52.95 Å³ per atom

---

Entry 17:
Material: Cs2CaI
Method: DFT, PBE
State: optimized geometry

Cell: 4.728 4.728 14.164 Å, 80.39 80.39 60.00°
Fractional coordinates of all 4 atoms:
Cs 0.104 0.104 0.689
Cs 0.896 0.896 0.311
Ca 0.000 0.000 0.000
I 0.500 0.500 0.500

Summary:
Uncorrected formation energy = -482 meV/atom
Calculated volume = 67.26 Å³ per atom

---

Entry 18:
Material: Cs3Ca2I6
Method: DFT, PBE
State: optimized geometry

Cell: 6.269 6.269 15.121 Å, 101.96 101.96 90.00°
Fractional coordinates of all 11 atoms:
Ca 0.419 0.419 0.838
Ca 0.581 0.581 0.162
I 0.083 0.583 0.167
I 0.917 0.417 0.833
I 0.583 0.083 0.167
I 0.417 0.917 0.833
I 0.310 0.310 0.620
I 0.690 0.690 0.380
Cs 0.178 0.178 0.356
Cs 0.822 0.822 0.644
Cs 0.000 0.000 0.000

Summary:
Uncorrected formation energy = -1449 meV/atom
Calculated volume = 51.66 Å³ per atom

---

Entry 19:
Material: CsCa2I5
Method: DFT, PBE
State: optimized geometry

Cell: 4.885 8.153 9.796 Å, 114.59 104.44 90.00°
Fractional coordinates of all 8 atoms:
Cs 0.000 0.000 0.000
I 0.342 0.601 0.685
I 0.658 0.399 0.315
I 0.342 0.084 0.685
I 0.658 0.916 0.315
I 0.000 0.500 0.000
Ca 0.185 0.685 0.370
Ca 0.815 0.315 0.630

Summary:
Uncorrected formation energy = -1549 meV/atom
Calculated volume = 42.65 Å³ per atom